Record 1
DFT (GGA-PBE) results for crystalline AcHo2Er4 at its relaxed geometry.

The structure in extended XYZ format:
```
14
Lattice="7.097 0.000 0.000 -1.754 8.462 0.000 -1.773 -4.079 7.623" Properties=species:S:1:pos:R:3 pbc="T T T"
Ac 0.000 0.000 0.000
Ac -1.692 3.810 4.385
Ho -1.732 1.142 6.607
Ho 0.033 -1.583 5.537
Ho 1.815 3.820 4.446
Ho 3.549 6.251 2.437
Er 0.042 0.905 3.440
Er 0.089 6.282 2.426
Er 1.802 3.134 1.219
Er 1.791 -4.027 7.585
Er 1.761 1.183 6.563
Er 3.568 0.918 3.409
Er 3.549 -1.622 5.489
Er 5.314 3.119 1.084
```

## Properties
volume	457.8	Å³ per cell
SG	P1
offset from the most stable computed form	0.0	meV per atom
E_tot	-62.014	eV per cell

=====

Record 2
DFT (GGA-PBE) results for crystalline AcHo5Er2 at its relaxed geometry.

The structure in extended XYZ format:
```
32
Lattice="7.165 0.000 0.000 0.000 20.109 0.000 0.000 0.000 7.165" Properties=species:S:1:pos:R:3 pbc="T T T"
Ac 1.794 2.511 0.000
Ac 1.789 12.565 0.000
Ac 5.376 7.543 0.000
Ac 5.372 17.597 0.000
Ho 0.000 0.000 1.838
Ho 0.000 0.000 5.327
Ho 0.003 5.027 1.839
Ho 0.003 5.027 5.326
Ho 7.162 15.081 1.839
Ho 7.162 15.081 5.326
Ho 1.794 7.543 0.000
Ho 1.793 7.545 3.582
Ho 1.789 17.598 0.000
Ho 1.790 17.599 3.582
Ho 3.586 5.027 1.839
Ho 3.586 5.027 5.326
Ho 3.583 10.054 1.838
Ho 3.583 10.054 5.327
Ho 3.580 15.082 1.839
Ho 3.580 15.082 5.326
Ho 5.376 2.511 0.000
Ho 5.376 2.509 3.582
Ho 5.371 12.565 0.000
Ho 5.372 12.564 3.582
Er 0.000 10.054 1.839
Er 0.000 10.054 5.326
Er 1.794 2.509 3.582
Er 1.788 12.563 3.582
Er 3.583 0.000 1.839
Er 3.583 0.000 5.326
Er 5.377 7.545 3.582
Er 5.371 17.599 3.582
```

## Properties
volume	1032.3	Å³ per cell
SG	Pbam
offset from the most stable computed form	18.3	meV per atom
E_tot	-143.151	eV per cell

=====

Record 3
DFT (GGA-PBE) results for crystalline AcHo4Er7 at its relaxed geometry.

The structure in extended XYZ format:
```
12
Lattice="6.095 -3.002 0.000 6.095 3.002 0.000 -5.993 0.000 10.926" Properties=species:S:1:pos:R:3 pbc="T T T"
Ac 0.000 0.000 0.000
Ho -0.828 0.000 7.545
Ho 3.283 0.000 2.456
Ho 2.914 0.000 8.470
Ho 7.025 0.000 3.381
Er -1.634 0.000 3.950
Er -2.871 0.000 10.027
Er 1.485 0.000 5.278
Er 6.095 0.000 0.000
Er 4.712 0.000 5.648
Er 9.068 0.000 0.899
Er 7.831 0.000 6.976
```

## Properties
volume	399.8	Å³ per cell
SG	C2/m
offset from the most stable computed form	300.9	meV per atom
E_tot	-50.493	eV per cell

=====

Record 4
DFT (GGA-PBE) results for crystalline AcHoEr2 at its relaxed geometry.

The structure in extended XYZ format:
```
8
Lattice="8.384 -2.396 0.000 8.384 2.396 0.000 -2.752 0.000 7.212" Properties=species:S:1:pos:R:3 pbc="T T T"
Ac -0.004 0.000 2.101
Ac 14.020 0.000 5.111
Ho 2.677 0.000 4.772
Ho 11.339 0.000 2.440
Er 3.040 0.000 0.002
Er 5.453 0.000 2.414
Er 8.562 0.000 4.799
Er 10.976 0.000 7.211
```

## Properties
volume	289.8	Å³ per cell
SG	C2/m
offset from the most stable computed form	142.0	meV per atom
E_tot	-34.076	eV per cell

=====

Record 5
DFT (GGA-PBE) results for crystalline AcHo5Er2 at its relaxed geometry.

The structure in extended XYZ format:
```
8
Lattice="-1.787 5.550 6.583 1.787 -5.550 6.583 1.787 5.550 -6.583" Properties=species:S:1:pos:R:3 pbc="T T T"
Ac 0.000 0.000 0.000
Ho 1.787 3.036 -1.774
Ho 1.787 3.036 1.774
Ho 0.000 5.550 0.000
Ho 0.000 2.514 4.809
Ho 0.000 2.514 8.356
Er 1.787 0.000 3.254
Er 0.000 5.550 3.329
```

## Properties
volume	261.1	Å³ per cell
SG	Immm
offset from the most stable computed form	0.0	meV per atom
E_tot	-35.935	eV per cell

=====

Record 6
DFT (GGA-PBE) results for crystalline AcHoEr at its relaxed geometry.

The structure in extended XYZ format:
```
3
Lattice="5.830 0.000 0.000 -2.915 5.049 0.000 0.000 0.000 3.564" Properties=species:S:1:pos:R:3 pbc="T T T"
Ac 0.000 0.000 0.000
Ho 2.915 1.683 1.782
Er 0.000 3.366 0.000
```

## Properties
volume	104.9	Å³ per cell
SG	P-6m2
offset from the most stable computed form	99.6	meV per atom
E_tot	-12.795	eV per cell

=====

Record 7
DFT (GGA-PBE) results for crystalline AcHo3Er4 at its relaxed geometry.

The structure in extended XYZ format:
```
8
Lattice="-1.765 5.777 6.501 1.765 -5.777 6.501 1.765 5.777 -6.501" Properties=species:S:1:pos:R:3 pbc="T T T"
Ac 0.000 0.000 0.000
Ho 1.765 0.000 3.403
Ho 0.000 0.000 6.501
Ho 0.000 5.777 3.097
Er 1.765 2.996 -1.796
Er 1.765 2.996 1.796
Er 0.000 2.781 4.705
Er 0.000 2.781 8.296
```

## Properties
volume	265.1	Å³ per cell
SG	Immm
E_tot	-35.047	eV per cell

=====

Record 8
DFT (GGA-PBE) results for crystalline AcHo4Er7 at its relaxed geometry.

The structure in extended XYZ format:
```
24
Lattice="5.649 0.000 0.000 0.000 21.755 0.000 0.000 0.000 6.248" Properties=species:S:1:pos:R:3 pbc="T T T"
Ac 1.412 5.439 1.074
Ac 4.237 16.316 5.174
Ho 1.412 1.763 1.054
Ho 1.412 9.114 1.054
Ho 1.412 12.666 1.042
Ho 1.412 19.966 1.042
Ho 4.237 1.789 5.206
Ho 4.237 9.088 5.206
Ho 4.237 12.640 5.194
Ho 4.237 19.991 5.194
Er 1.412 0.001 4.164
Er 1.412 3.558 4.178
Er 1.412 7.319 4.178
Er 1.412 10.877 4.164
Er 1.412 14.430 4.145
Er 1.412 16.316 1.092
Er 1.412 18.201 4.145
Er 4.237 21.754 2.085
Er 4.237 3.553 2.103
Er 4.237 5.439 5.156
Er 4.237 7.324 2.103
Er 4.237 10.878 2.085
Er 4.237 14.435 2.070
Er 4.237 18.196 2.070
```

## Properties
volume	767.9	Å³ per cell
SG	Pmmn
offset from the most stable computed form	0.0	meV per atom
E_tot	-108.208	eV per cell

=====

Calculated formation energy, respectively: 73; 42; 322; 193; 24; 151; 131; 21 meV/atom.